No. 1
Computed, not measured: crystalline LaLuMgNi at its relaxed geometry at the PBE-GGA level of DFT.

Its total magnetic moment is 0.00 Bohr magnetons per cell. As for the volume: 23.82 A^3/atom. The excess energy over the best structure of this formula in the dataset is 0.0 kJ per mole of atoms. As for the space group: F-43m (216).

a = 5.127 Å, b = 5.127 Å, c = 5.127 Å
α = 60.00°, β = 60.00°, γ = 60.00°
Element x y z (fractional)
Lu 0.000 0.000 0.000
Mg 0.750 0.750 0.750
Ni 0.250 0.250 0.250
La 0.500 0.500 0.500

***

No. 2
Computed, not measured: crystalline LaLuMgNi at its relaxed geometry at the PBE-GGA level of DFT.

Its total magnetic moment is 0.01 Bohr magnetons per cell. As for the volume: 22.27 A^3/atom. The excess energy over the best structure of this formula in the dataset is 12.4 kJ per mole of atoms. As for the space group: F-43m (216).

a = 5.013 Å, b = 5.013 Å, c = 5.013 Å
α = 60.00°, β = 60.00°, γ = 60.00°
Element x y z (fractional)
La 0.250 0.250 0.250
Lu 0.000 0.000 0.000
Mg 0.750 0.750 0.750
Ni 0.500 0.500 0.500

***

No. 3
Computed, not measured: crystalline LaLuNO at its relaxed geometry at the PBE-GGA level of DFT.

Its total magnetic moment is 1.39 Bohr magnetons per cell. As for the volume: 17.68 A^3/atom. The excess energy over the best structure of this formula in the dataset is 0.0 kJ per mole of atoms. As for the space group: Pmc2_1 (26).

a = 3.979 Å, b = 4.945 Å, c = 7.188 Å
α = 90.00°, β = 90.00°, γ = 90.00°
Element x y z (fractional)
Lu 0.000 0.939 0.655
O 0.500 0.939 0.783
O 0.500 0.439 0.217
Lu 0.000 0.439 0.345
N 0.000 0.937 0.351
La 0.500 0.939 0.160
La 0.500 0.439 0.840
N 0.000 0.437 0.649

***

No. 4
Computed, not measured: crystalline LaLuNO at its relaxed geometry at the PBE-GGA level of DFT.

Its total magnetic moment is 1.61 Bohr magnetons per cell. As for the volume: 18.84 A^3/atom. The excess energy over the best structure of this formula in the dataset is 6.1 kJ per mole of atoms. As for the space group: Pmc2_1 (26).

a = 3.910 Å, b = 5.720 Å, c = 6.738 Å
α = 90.00°, β = 90.00°, γ = 90.00°
Element x y z (fractional)
Lu 0.500 0.496 0.827
La 0.000 0.982 0.655
Lu 0.500 0.996 0.173
O 0.500 0.868 0.875
O 0.500 0.368 0.125
N 0.000 0.408 0.698
N 0.000 0.908 0.302
La 0.000 0.482 0.345

***

No. 5
Computed, not measured: crystalline LaLuNO at its relaxed geometry at the PBE-GGA level of DFT.

Its total magnetic moment is 0.03 Bohr magnetons per cell. As for the volume: 16.88 A^3/atom. The excess energy over the best structure of this formula in the dataset is 13.1 kJ per mole of atoms. As for the space group: P4/nmm (129).

a = 4.698 Å, b = 4.698 Å, c = 6.119 Å
α = 90.00°, β = 90.00°, γ = 90.00°
Element x y z (fractional)
La 0.500 0.500 0.500
O 0.500 0.500 0.000
Lu 0.000 0.500 0.966
N 0.000 0.500 0.627
N 0.500 0.000 0.373
O 0.000 0.000 0.000
Lu 0.500 0.000 0.034
La 0.000 0.000 0.500

***

No. 6
Computed, not measured: crystalline LaLuNO at its relaxed geometry at the PBE-GGA level of DFT.

Its total magnetic moment is 0.02 Bohr magnetons per cell. As for the volume: 21.16 A^3/atom. The excess energy over the best structure of this formula in the dataset is 25.9 kJ per mole of atoms. As for the space group: P4/nmm (129).

a = 4.411 Å, b = 4.411 Å, c = 8.702 Å
α = 90.00°, β = 90.00°, γ = 90.00°
Element x y z (fractional)
Lu 0.500 0.500 0.500
O 0.500 0.500 0.000
La 0.000 0.500 0.115
La 0.500 0.000 0.885
N 0.500 0.000 0.458
O 0.000 0.000 0.000
N 0.000 0.500 0.542
Lu 0.000 0.000 0.500

***

No. 7
Computed, not measured: crystalline NaLaLu at its relaxed geometry at the PBE-GGA level of DFT.

Its total magnetic moment is 0.02 Bohr magnetons per cell. As for the volume: 36.38 A^3/atom. The excess energy over the best structure of this formula in the dataset is 0.0 kJ per mole of atoms. As for the space group: F-43m (216).

a = 5.364 Å, b = 5.364 Å, c = 5.364 Å
α = 60.00°, β = 60.00°, γ = 60.00°
Element x y z (fractional)
Lu 0.750 0.750 0.750
La 0.250 0.250 0.250
Na 0.000 0.000 0.000

***

No. 8
Computed, not measured: crystalline La2LuNi9 at its relaxed geometry at the PBE-GGA level of DFT.

The calculation puts the formation energy at -357 meV per atom. Its total magnetic moment is 0.47 Bohr magnetons per cell. As for the volume: 14.71 A^3/atom. As for the space group: R-3m (166).

a = 8.778 Å, b = 8.778 Å, c = 8.778 Å
α = 32.80°, β = 32.80°, γ = 32.80°
Site moments in Bohr magnetons follow the coordinates.
Element x y z (fractional)
Ni 0.578 0.080 0.578  -0.08
Ni 0.920 0.422 0.422  -0.06
La 0.862 0.862 0.862  0.02
Ni 0.080 0.578 0.578  -0.06
Ni 0.578 0.578 0.080  -0.07
Ni 0.422 0.920 0.422  -0.08
La 0.138 0.138 0.138  0.02
Lu 0.000 0.000 0.000  0.02
Ni 0.422 0.422 0.920  -0.07
Ni 0.333 0.333 0.333  -0.08
Ni 0.500 0.500 0.500  -0.01
Ni 0.667 0.667 0.667  -0.08